# NaTlSbTe2 | the Alexandria database | PBE | optimized geometry
data_NaTlSbTe2
_cell_length_a 5.972
_cell_length_b 5.972
_cell_length_c 5.680
_cell_angle_alpha 90.00
_cell_angle_beta 90.00
_cell_angle_gamma 90.00
_space_group_name_H-M_alt 'P 4/m m m'
_space_group_IT_number 123
_space_group_name_Hall '-P 4 2'
loop_
_atom_site_label
_atom_site_fract_x
_atom_site_fract_y
_atom_site_fract_z
Na1 0.000 0.000 0.000
Tl1 0.500 0.500 0.500
Sb1 0.500 0.500 0.000
Te1 0.000 0.500 0.500
# formation energy (no corrections)	1.6	eV per formula unit
# energy relative to the lowest polymorph listed for this composition	0	meV per atom